First-principles (PBEsol) data for a geometry-optimized Nb3Pd structure, as listed in Alexandria.

```
Nb3Pd
1.0
2.778 0.008 0.000
-0.694 2.690 0.000
0.000 0.000 8.984
Nb Pd
3 1
Direct
0.500 0.500 0.760
0.000 0.000 0.500
0.500 0.500 0.240
0.000 0.000 0.000
```

Values from the calculation:
raw total energy	-9.77	eV per atom
V	16.8	A^3/atom